(1)
Li2Cr2H4O9: optimized geometry, PBE with a Hubbard U.

- Crystal system: monoclinic
- Offset from the most stable computed form: 0 meV/atom
- Spin magnetization: 0.00 μB per formula unit

Cell lengths 5.445, 5.445, 13.081 Å; angles 86.01, 86.01, 91.56 degrees
Fractional positions:
Li: 0.500 0.000 0.500
Li: 0.000 0.500 0.000
Li: 0.236 0.764 0.750
Li: 0.764 0.236 0.250
Cr: 0.744 0.010 0.859
Cr: 0.010 0.744 0.359
Cr: 0.256 0.990 0.141
Cr: 0.990 0.256 0.641
H: 0.419 0.557 0.602
H: 0.557 0.419 0.102
H: 0.581 0.443 0.398
H: 0.443 0.581 0.898
H: 0.649 0.671 0.647
H: 0.671 0.649 0.147
H: 0.351 0.329 0.353
H: 0.329 0.351 0.853
O: 0.969 0.031 0.750
O: 0.031 0.969 0.250
O: 0.469 0.057 0.819
O: 0.057 0.469 0.319
O: 0.531 0.943 0.181
O: 0.943 0.531 0.681
O: 0.752 0.731 0.914
O: 0.731 0.752 0.414
O: 0.248 0.269 0.086
O: 0.269 0.248 0.586
O: 0.788 0.185 0.562
O: 0.185 0.788 0.062
O: 0.212 0.815 0.438
O: 0.815 0.212 0.938
O: 0.480 0.710 0.630
O: 0.710 0.480 0.130
O: 0.520 0.290 0.370
O: 0.290 0.520 0.870

(2)
Li2Cr2H4O9: optimized geometry, PBE with a Hubbard U.

- Crystal system: monoclinic
- Offset from the most stable computed form: 14 meV/atom
- Spin magnetization: 0.12 μB per formula unit

Cell lengths 7.465, 7.465, 9.690 Å; angles 92.51, 92.51, 62.43 degrees
Fractional positions:
Li: 0.678 0.549 0.040
Li: 0.549 0.678 0.540
Li: 0.504 0.309 0.140
Li: 0.309 0.504 0.640
Cr: 0.310 0.973 0.113
Cr: 0.973 0.310 0.613
Cr: 0.202 0.696 0.317
Cr: 0.696 0.202 0.817
H: 0.757 0.382 0.312
H: 0.382 0.757 0.812
H: 0.868 0.264 0.177
H: 0.264 0.868 0.677
H: 0.744 0.863 0.461
H: 0.863 0.744 0.961
H: 0.009 0.587 0.069
H: 0.587 0.009 0.569
O: 0.293 0.864 0.268
O: 0.864 0.293 0.768
O: 0.411 0.792 0.992
O: 0.792 0.411 0.492
O: 0.084 0.139 0.066
O: 0.139 0.084 0.566
O: 0.456 0.078 0.147
O: 0.078 0.456 0.647
O: 0.344 0.577 0.452
O: 0.577 0.344 0.952
O: 0.966 0.816 0.355
O: 0.816 0.966 0.855
O: 0.233 0.535 0.188
O: 0.535 0.233 0.688
O: 0.735 0.364 0.212
O: 0.364 0.735 0.712
O: 0.882 0.628 0.015
O: 0.628 0.882 0.515

(3)
Li2VCrP2H2O10: optimized geometry, PBE with a Hubbard U.

- Crystal system: triclinic
- Offset from the most stable computed form: 3 meV/atom
- Spin magnetization: 5.00 μB per formula unit

Cell lengths 5.174, 10.659, 7.366 Å; angles 75.35, 108.73, 82.93 degrees
Fractional positions:
Li: 0.546 0.197 0.627
Li: 0.046 0.697 0.128
Li: 0.954 0.303 0.872
Li: 0.454 0.803 0.373
V: 0.500 0.500 0.500
V: 0.000 0.000 0.000
Cr: 0.500 0.500 0.000
Cr: 0.000 0.000 0.500
P: 0.497 0.181 0.052
P: 0.997 0.681 0.552
P: 0.003 0.319 0.448
P: 0.503 0.819 0.948
H: 0.328 0.032 0.313
H: 0.828 0.532 0.813
H: 0.172 0.468 0.187
H: 0.672 0.968 0.687
O: 0.815 0.023 0.698
O: 0.315 0.523 0.198
O: 0.685 0.477 0.802
O: 0.185 0.977 0.302
O: 0.627 0.103 0.279
O: 0.127 0.603 0.779
O: 0.873 0.397 0.221
O: 0.373 0.897 0.721
O: 0.133 0.171 0.489
O: 0.633 0.671 0.989
O: 0.367 0.329 0.011
O: 0.867 0.829 0.511
O: 0.244 0.127 0.947
O: 0.744 0.627 0.447
O: 0.256 0.373 0.553
O: 0.756 0.873 0.053
O: 0.715 0.170 0.947
O: 0.215 0.670 0.447
O: 0.785 0.330 0.553
O: 0.285 0.830 0.053

(4)
Li2VCrP2H2O10: optimized geometry, PBE with a Hubbard U.

- Crystal system: triclinic
- Offset from the most stable computed form: 2 meV/atom
- Spin magnetization: 5.00 μB per formula unit

Cell lengths 6.948, 7.373, 7.990 Å; angles 90.95, 92.81, 117.36 degrees
Fractional positions:
Li: 0.069 0.823 0.675
Li: 0.431 0.172 0.825
Li: 0.569 0.828 0.175
Li: 0.931 0.177 0.325
V: 0.000 0.000 0.000
V: 0.500 0.500 0.500
Cr: 0.000 0.500 0.000
Cr: 0.500 0.000 0.500
P: 0.480 0.769 0.842
P: 0.017 0.230 0.658
P: 0.983 0.770 0.342
P: 0.520 0.231 0.158
H: 0.786 0.654 0.853
H: 0.289 0.662 0.350
H: 0.711 0.338 0.650
H: 0.214 0.346 0.147
O: 0.322 0.662 0.981
O: 0.112 0.116 0.772
O: 0.387 0.882 0.725
O: 0.688 0.928 0.942
O: 0.192 0.931 0.441
O: 0.532 0.618 0.741
O: 0.174 0.340 0.520
O: 0.036 0.621 0.238
O: 0.940 0.720 0.896
O: 0.442 0.725 0.396
O: 0.558 0.275 0.604
O: 0.060 0.280 0.104
O: 0.964 0.379 0.762
O: 0.826 0.660 0.480
O: 0.468 0.382 0.259
O: 0.808 0.069 0.559
O: 0.312 0.072 0.058
O: 0.613 0.118 0.275
O: 0.888 0.884 0.228
O: 0.678 0.338 0.019

(5)
Li2VCrP2H2O10: optimized geometry, PBE with a Hubbard U.

- Crystal system: triclinic
- Offset from the most stable computed form: 1 meV/atom
- Spin magnetization: 5.00 μB per formula unit

Cell lengths 5.160, 7.374, 15.164 Å; angles 94.15, 91.95, 108.75 degrees
Fractional positions:
Li: 0.614 0.694 0.869
Li: 0.056 0.972 0.798
Li: 0.281 0.361 0.535
Li: 0.719 0.639 0.465
Li: 0.944 0.028 0.202
Li: 0.386 0.306 0.131
V: 0.000 0.000 0.000
V: 0.668 0.168 0.666
V: 0.332 0.832 0.334
Cr: 0.000 0.500 0.000
Cr: 0.667 0.667 0.667
Cr: 0.333 0.333 0.333
P: 0.559 0.113 0.880
P: 0.113 0.558 0.787
P: 0.221 0.776 0.548
P: 0.779 0.224 0.452
P: 0.887 0.442 0.213
P: 0.441 0.887 0.120
H: 0.340 0.324 0.979
H: 0.008 0.985 0.646
H: 0.326 0.350 0.688
H: 0.674 0.650 0.312
H: 0.992 0.015 0.354
H: 0.660 0.676 0.021
O: 0.822 0.705 0.985
O: 0.288 0.989 0.916
O: 0.662 0.313 0.932
O: 0.193 0.550 0.886
O: 0.775 0.005 0.886
O: 0.894 0.663 0.779
O: 0.384 0.683 0.750
O: 0.845 0.958 0.681
O: 0.480 0.125 0.781
O: 0.014 0.357 0.736
O: 0.322 0.978 0.598
O: 0.490 0.377 0.652
O: 0.950 0.651 0.584
O: 0.440 0.671 0.554
O: 0.858 0.214 0.551
O: 0.142 0.786 0.449
O: 0.560 0.329 0.446
O: 0.050 0.349 0.416
O: 0.510 0.623 0.348
O: 0.678 0.022 0.402
O: 0.986 0.643 0.264
O: 0.520 0.875 0.219
O: 0.155 0.042 0.319
O: 0.616 0.317 0.250
O: 0.106 0.337 0.221
O: 0.225 0.995 0.114
O: 0.807 0.450 0.114
O: 0.338 0.687 0.068
O: 0.712 0.011 0.084
O: 0.178 0.295 0.015

(6)
Li2VCrP2H2O10: optimized geometry, PBE with a Hubbard U.

- Crystal system: triclinic
- Offset from the most stable computed form: 2 meV/atom
- Spin magnetization: 5.00 μB per formula unit

Cell lengths 5.166, 7.374, 10.645 Å; angles 104.43, 96.92, 108.77 degrees
Fractional positions:
Li: 0.548 0.627 0.803
Li: 0.954 0.871 0.697
Li: 0.046 0.129 0.303
Li: 0.452 0.373 0.197
V: 0.000 0.000 0.000
V: 0.500 0.000 0.500
Cr: 0.000 0.500 0.000
Cr: 0.500 0.500 0.500
P: 0.499 0.053 0.820
P: 0.006 0.451 0.680
P: 0.994 0.549 0.320
P: 0.501 0.947 0.180
H: 0.329 0.314 0.968
H: 0.171 0.193 0.532
H: 0.829 0.807 0.468
H: 0.671 0.686 0.032
O: 0.814 0.698 0.977
O: 0.627 0.279 0.898
O: 0.135 0.492 0.829
O: 0.246 0.946 0.873
O: 0.717 0.948 0.830
O: 0.784 0.552 0.669
O: 0.259 0.557 0.626
O: 0.370 0.015 0.672
O: 0.880 0.224 0.603
O: 0.315 0.202 0.477
O: 0.685 0.798 0.523
O: 0.120 0.776 0.397
O: 0.630 0.985 0.328
O: 0.741 0.443 0.374
O: 0.216 0.448 0.331
O: 0.283 0.052 0.170
O: 0.754 0.054 0.127
O: 0.865 0.508 0.171
O: 0.373 0.721 0.102
O: 0.186 0.302 0.023

(7)
Li2VCrP2H2O10: optimized geometry, PBE with a Hubbard U.

- Crystal system: triclinic
- Offset from the most stable computed form: 0 meV/atom
- Spin magnetization: 5.00 μB per formula unit

Cell lengths 5.438, 7.376, 5.152 Å; angles 108.73, 98.06, 106.68 degrees
Fractional positions:
Li: 0.395 0.827 0.745
Li: 0.605 0.173 0.255
V: 0.000 0.500 0.000
Cr: 0.000 0.000 0.000
P: 0.358 0.229 0.674
P: 0.642 0.771 0.326
H: 0.063 0.339 0.363
H: 0.937 0.661 0.637
O: 0.044 0.725 0.837
O: 0.206 0.379 0.723
O: 0.345 0.662 0.306
O: 0.249 0.067 0.367
O: 0.338 0.117 0.886
O: 0.662 0.883 0.114
O: 0.751 0.933 0.633
O: 0.655 0.338 0.694
O: 0.794 0.621 0.277
O: 0.956 0.275 0.163